Record 1
CdTcCl2 after structural relaxation, computed with PBE.

a b c (Å): 7.1828 7.1828 5.0339
angles (deg): 69.34 69.34 24.27
Closest atoms and distances in Å follow each position.
Sites, in units of the cell vectors:
Cl (0.3958, 0.3958, 0.6031)  2 Tc 2.43
Cd (0.2500, 0.2500, 0.2500)  4 Tc 2.93, 2 Cd 3.02, 4 Cl 3.16
Tc (0.7500, 0.7500, 0.7500)  4 Cl 2.43
Cl (0.1042, 0.1042, 0.8969)  2 Tc 2.43

Results
Energy relative to the lowest polymorph listed for this composition = 0.034 eV/atom
Raw formation energy = -0.68 eV/f.u.

***

Record 2
ScMo3 after structural relaxation, computed with PBE.

a b c (Å): 9.8136 9.8136 9.8136
angles (deg): 157.72 157.72 31.71
Closest atoms and distances in Å follow each position.
Sites, in units of the cell vectors:
Mo (0.8761, 0.8761, 0.0000)  4 Sc 2.68
Sc (0.3742, 0.3742, 0.0000)  4 Mo 2.68
Mo (0.2500, 0.7500, 0.5000)  4 Mo 2.68
Mo (0.1239, 0.1239, 0.0000)  4 Sc 2.68
Mo (0.7500, 0.2500, 0.5000)  4 Mo 2.68
Sc (0.6258, 0.6258, 0.0000)  4 Mo 2.68
Mo (0.0000, 0.5000, 0.5000)  4 Mo 2.68
Mo (0.5000, 0.0000, 0.5000)  4 Mo 2.68

Results
DFT formation energy = 304 meV/atom

***

Record 3
BeTe4Ru after structural relaxation, computed with PBE.

a b c (Å): 6.2113 6.2113 6.2113
angles (deg): 60.00 60.00 60.00
Closest atoms and distances in Å follow each position.
Sites, in units of the cell vectors:
Te (0.3751, 0.3751, 0.3751)  6 Te 3.10-3.11
Te (0.8748, 0.3751, 0.3751)  6 Te 3.10-3.11
Te (0.3751, 0.3751, 0.8748)  6 Te 3.10-3.11
Be (0.7500, 0.7500, 0.7500)  12 Te 3.64, 4 Ru 3.80
Te (0.3751, 0.8748, 0.3751)  6 Te 3.10-3.11
Ru (0.0000, 0.0000, 0.0000)  12 Te 3.64, 4 Be 3.80

Results
Raw formation energy = 8.37 eV/f.u.

***

Record 4
Ce6GeP2S3 after structural relaxation, computed with PBE.

a b c (Å): 4.0951 8.1618 9.1269
angles (deg): 102.57 102.96 90.00
Closest atoms and distances in Å follow each position.
Sites, in units of the cell vectors:
P (0.1671, 0.3336, 0.3343)  6 Ce 2.87-2.88
Ge (0.5000, 0.0000, 0.0000)  6 Ce 2.93
S (0.5000, 0.5000, 0.0000)  6 Ce 2.85-2.90
S (0.8342, 0.1675, 0.6685)  6 Ce 2.86-2.90
Ce (0.9992, 0.7428, 0.9984)  3 S 2.85-2.89, 1 P 2.88, 2 Ge 2.93
S (0.1658, 0.8325, 0.3315)  6 Ce 2.86-2.90
Ce (0.3309, 0.9140, 0.6617)  3 S 2.86-2.90, 2 P 2.88, 1 Ge 2.93
P (0.8329, 0.6664, 0.6657)  6 Ce 2.87-2.88
Ce (0.6671, 0.5819, 0.3342)  3 P 2.87-2.88, 3 S 2.90
Ce (0.3329, 0.4181, 0.6658)  3 P 2.87-2.88, 3 S 2.90
Ce (0.0008, 0.2572, 0.0016)  3 S 2.85-2.89, 1 P 2.88, 2 Ge 2.93
Ce (0.6691, 0.0860, 0.3383)  3 S 2.86-2.90, 2 P 2.88, 1 Ge 2.93

Results
Raw formation energy = -19.78 eV/f.u.

***

Record 5
SbRuN2O after structural relaxation, computed with PBE.

a b c (Å): 3.8436 3.8436 4.1932
angles (deg): 90.00 90.00 90.00
Closest atoms and distances in Å follow each position.
Sites, in units of the cell vectors:
Sb (0.5000, 0.5000, 0.5000)  4 O 2.72, 8 N 2.84
N (0.5000, 0.0000, 0.0000)  2 Ru 1.92
O (0.0000, 0.0000, 0.5000)  2 Ru 2.10
N (0.0000, 0.5000, 0.0000)  2 Ru 1.92
Ru (0.0000, 0.0000, 0.0000)  4 N 1.92, 2 O 2.10

Results
Raw formation energy = 2.65 eV/f.u.

***

Record 6
DyErCdGa after structural relaxation, computed with PBE.

a b c (Å): 5.1528 5.1528 5.1528
angles (deg): 60.00 60.00 60.00
Closest atoms and distances in Å follow each position.
Sites, in units of the cell vectors:
Dy (0.5000, 0.5000, 0.5000)  4 Cd 3.16, 4 Ga 3.16
Ga (0.2500, 0.2500, 0.2500)  4 Er 3.16, 4 Dy 3.16
Er (0.0000, 0.0000, 0.0000)  4 Cd 3.16, 4 Ga 3.16
Cd (0.7500, 0.7500, 0.7500)  4 Er 3.16, 4 Dy 3.16

Results
Energy relative to the lowest polymorph listed for this composition = 0.020 eV/atom
DFT formation energy = -438 meV/atom